1.
Entry from Alexandria: crystalline SrZnGaAu3 at its relaxed geometry (PBE-GGA).

a b c (Å): 7.160 7.160 6.338
angles (deg): 90.00 90.00 122.07
Positions (direct):
Sr 0.213 0.787 0.750
Sr 0.787 0.213 0.250
Zn 0.472 0.528 0.750
Zn 0.528 0.472 0.250
Ga 0.120 0.880 0.250
Ga 0.880 0.120 0.750
Au 0.211 0.211 0.000
Au 0.211 0.211 0.500
Au 0.320 0.680 0.250
Au 0.680 0.320 0.750
Au 0.789 0.789 0.000
Au 0.789 0.789 0.500

Output
- DFT total energy (eV/atom) = -3.029
- space-group type = No. 63
- total moment (μB per cell) = 0.00
- energy of formation from the pure elements (eV per formula unit) = -2.4
- crystal system = orthorhombic

=====

2.
Entry from Alexandria: crystalline Sr2Zn4Ga3Au at its relaxed geometry (PBE-GGA).

a b c (Å): 4.457 4.457 10.671
angles (deg): 90.00 90.00 90.00
Positions (direct):
Sr 0.000 0.500 0.250
Sr 0.500 0.000 0.750
Zn 0.000 0.000 0.000
Zn 0.000 0.500 0.632
Zn 0.500 0.000 0.368
Zn 0.500 0.500 0.000
Ga 0.000 0.500 0.870
Ga 0.500 0.000 0.130
Ga 0.500 0.500 0.500
Au 0.000 0.000 0.500

Output
- DFT total energy (eV/atom) = -2.451
- space-group type = No. 115
- total moment (μB per cell) = 0.00
- energy of formation from the pure elements (eV per formula unit) = -3.7
- crystal system = tetragonal

=====

3.
Entry from Alexandria: crystalline SrZn2GaAu5 at its relaxed geometry (PBE-GGA).

a b c (Å): 7.891 7.891 7.891
angles (deg): 144.05 136.03 58.04
Positions (direct):
Sr 0.000 0.000 0.000
Zn 0.313 0.813 0.500
Zn 0.687 0.187 0.500
Ga 0.500 0.500 0.000
Au 0.086 0.342 0.744
Au 0.401 0.658 0.744
Au 0.500 0.000 0.500
Au 0.599 0.342 0.256
Au 0.914 0.658 0.256

Output
- DFT total energy (eV/atom) = -2.882
- space-group type = No. 71
- total moment (μB per cell) = 0.00
- energy of formation from the pure elements (eV per formula unit) = -2.3
- crystal system = orthorhombic

=====

4.
Entry from Alexandria: crystalline SrZn2GaAu2 at its relaxed geometry (PBE-GGA).

a b c (Å): 4.687 4.687 6.143
angles (deg): 90.00 90.00 90.00
Positions (direct):
Sr 0.000 0.000 0.000
Zn 0.000 0.500 0.500
Zn 0.500 0.000 0.500
Ga 0.000 0.000 0.500
Au 0.500 0.500 0.228
Au 0.500 0.500 0.772

Output
- DFT total energy (eV/atom) = -2.476
- space-group type = No. 123
- total moment (μB per cell) = 0.00
- energy of formation from the pure elements (eV per formula unit) = -1.0
- crystal system = tetragonal

=====

5.
Entry from Alexandria: crystalline SrZnGa2Au5 at its relaxed geometry (PBE-GGA).

a b c (Å): 4.469 4.469 10.534
angles (deg): 90.00 90.00 90.00
Positions (direct):
Sr 0.000 0.000 0.000
Zn 0.000 0.000 0.500
Ga 0.500 0.500 0.235
Ga 0.500 0.500 0.765
Au 0.000 0.500 0.358
Au 0.000 0.500 0.642
Au 0.500 0.000 0.358
Au 0.500 0.000 0.642
Au 0.500 0.500 0.000

Output
- DFT total energy (eV/atom) = -3.093
- space-group type = No. 123
- total moment (μB per cell) = 0.00
- energy of formation from the pure elements (eV per formula unit) = -2.4
- crystal system = tetragonal

=====

6.
Entry from Alexandria: crystalline SrZn2GaAu at its relaxed geometry (PBE-GGA).

a b c (Å): 6.143 6.143 6.143
angles (deg): 136.84 136.64 62.83
Positions (direct):
Sr 0.000 0.000 0.000
Zn 0.379 0.379 0.000
Zn 0.750 0.250 0.500
Ga 0.624 0.624 0.000
Au 0.248 0.748 0.500

Output
- DFT total energy (eV/atom) = -2.512
- space-group type = No. 44
- total moment (μB per cell) = 0.00
- energy of formation from the pure elements (eV per formula unit) = -2.0
- crystal system = orthorhombic

=====

7.
Entry from Alexandria: crystalline TaGa2Au at its relaxed geometry (PBE-GGA).

a b c (Å): 9.052 9.052 9.052
angles (deg): 18.99 18.99 18.99
Positions (direct):
Ta 0.000 0.000 0.000
Ga 0.583 0.583 0.583
Ga 0.750 0.750 0.750
Au 0.165 0.165 0.165

Output
- DFT total energy (eV/atom) = -5.401
- space-group type = No. 160
- total moment (μB per cell) = 0.00
- energy of formation from the pure elements (eV per formula unit) = -0.4
- ΔE to the lowest computed polymorph (eV/atom) = 0.044
- crystal system = trigonal

=====

8.
Entry from Alexandria: crystalline TaGa2Au at its relaxed geometry (PBE-GGA).

a b c (Å): 4.572 4.572 4.572
angles (deg): 60.00 60.00 60.00
Positions (direct):
Ta 0.000 0.000 0.000
Ga 0.250 0.250 0.250
Ga 0.750 0.750 0.750
Au 0.500 0.500 0.500

Output
- DFT total energy (eV/atom) = -5.123
- space-group type = No. 225
- total moment (μB per cell) = 0.30
- energy of formation from the pure elements (eV per formula unit) = 0.7
- ΔE to the lowest computed polymorph (eV/atom) = 0.322
- crystal system = cubic

=====

9.
Entry from Alexandria: crystalline TaGa2Au at its relaxed geometry (PBE-GGA).

a b c (Å): 2.868 2.868 8.232
angles (deg): 90.00 90.00 90.00
Positions (direct):
Ta 0.000 0.000 0.000
Ga 0.500 0.500 0.244
Ga 0.500 0.500 0.756
Au 0.000 0.000 0.500

Output
- DFT total energy (eV/atom) = -5.365
- space-group type = No. 123
- total moment (μB per cell) = 0.00
- energy of formation from the pure elements (eV per formula unit) = -0.3
- ΔE to the lowest computed polymorph (eV/atom) = 0.080
- crystal system = tetragonal

=====

10.
Entry from Alexandria: crystalline TaGa2Au at its relaxed geometry (PBE-GGA).

a b c (Å): 9.818 9.818 9.818
angles (deg): 17.28 17.28 17.28
Positions (direct):
Ta 0.000 0.000 0.000
Ga 0.411 0.411 0.411
Ga 0.589 0.589 0.589
Au 0.500 0.500 0.500

Output
- DFT total energy (eV/atom) = -5.305
- space-group type = No. 166
- total moment (μB per cell) = 0.00
- energy of formation from the pure elements (eV per formula unit) = 0.0
- ΔE to the lowest computed polymorph (eV/atom) = 0.140
- crystal system = trigonal

=====

11.
Entry from Alexandria: crystalline Ta2GaAu at its relaxed geometry (PBE-GGA).

a b c (Å): 5.876 5.876 5.876
angles (deg): 103.06 103.06 123.24
Positions (direct):
Ta 0.120 0.625 0.995
Ta 0.375 0.370 0.495
Ta 0.630 0.125 0.005
Ta 0.875 0.880 0.505
Ga 0.000 0.000 0.000
Ga 0.750 0.250 0.500
Au 0.250 0.750 0.500
Au 0.500 0.500 0.000

Output
- DFT total energy (eV/atom) = -7.185
- space-group type = No. 122
- total moment (μB per cell) = 0.00
- energy of formation from the pure elements (eV per formula unit) = 1.3
- crystal system = tetragonal

=====

12.
Entry from Alexandria: crystalline TaGa2Au at its relaxed geometry (PBE-GGA).

a b c (Å): 4.190 4.190 3.793
angles (deg): 90.00 90.00 90.00
Positions (direct):
Ta 0.000 0.000 0.000
Ga 0.000 0.500 0.500
Ga 0.500 0.000 0.500
Au 0.500 0.500 0.000

Output
- DFT total energy (eV/atom) = -5.445
- space-group type = No. 123
- total moment (μB per cell) = 0.00
- energy of formation from the pure elements (eV per formula unit) = -0.6
- ΔE to the lowest computed polymorph (eV/atom) = 0.000
- crystal system = tetragonal